The following is a PBE calculation of a relaxed PrBi5Pb2 crystal, from Alexandria via LeMat-Bulk.

Cell lengths 6.9502, 6.9502, 6.9505 Å; angles 105.46, 105.46, 117.83 degrees
Fractional coordinates of all 8 atoms:
Bi 0.7780 0.2779 0.0000
Bi 0.2779 0.2781 0.5001
Pb 0.2775 0.7778 0.4999
Pr 0.7780 0.7778 0.0000
Bi 0.2781 0.7778 0.0000
Pb 0.7776 0.2779 0.5001
Bi 0.7778 0.7780 0.4999
Bi 0.2782 0.2779 0.0000

DFT total energy: -4.1424 eV/atom
formation enthalpy at 0 K: -1.54 eV/f.u.
spin magnetization: 0.00 μB/f.u.